1.
HfNb3O after structural relaxation, computed with PBE.

Computed properties:
The space group is Pm-3m. The value obtained for the total energy is -34.34 eV for the cell shown. The energy above the lowest structure with this stoichiometry comes out at 2848 meV per atom. The uncorrected formation energy is 2.157 eV/atom.

abc: 4.925 4.925 4.925
angles: 90.00 90.00 90.00
Fractional positions:
Hf (0.000, 0.000, 0.000)
Nb (0.000, 0.000, 0.500)
Nb (0.000, 0.500, 0.000)
Nb (0.500, 0.000, 0.000)
O (0.500, 0.500, 0.500)

=====

2.
K3Np3CrS8 after structural relaxation, computed with PBE.

Computed properties:
The space group is R-3m. The value obtained for the total energy is -103.67 eV for the cell shown. The uncorrected formation energy is -1.261 eV/atom.

abc: 8.764 8.764 8.764
angles: 53.45 53.45 53.45
Fractional positions:
K (0.000, 0.500, 0.500)
K (0.500, 0.000, 0.500)
K (0.500, 0.500, 0.000)
Np (0.000, 0.000, 0.500)
Np (0.000, 0.500, 0.000)
Np (0.500, 0.000, 0.000)
Cr (0.500, 0.500, 0.500)
S (0.235, 0.235, 0.235)
S (0.249, 0.718, 0.718)
S (0.282, 0.282, 0.751)
S (0.282, 0.751, 0.282)
S (0.718, 0.249, 0.718)
S (0.718, 0.718, 0.249)
S (0.751, 0.282, 0.282)
S (0.765, 0.765, 0.765)

=====

3.
La2PmEr2 after structural relaxation, computed with PBE.

Computed properties:
The space group is C2/c. The value obtained for the total energy is -45.63 eV for the cell shown. The formation energy comes out at 0.183 eV per atom.

abc: 9.222 9.222 5.935
angles: 103.16 103.16 126.64
Fractional positions:
La (0.123, 0.264, 0.094)
La (0.264, 0.123, 0.594)
La (0.736, 0.877, 0.406)
La (0.877, 0.736, 0.906)
Pm (0.402, 0.598, 0.750)
Pm (0.598, 0.402, 0.250)
Er (0.089, 0.628, 0.354)
Er (0.372, 0.911, 0.146)
Er (0.628, 0.089, 0.854)
Er (0.911, 0.372, 0.646)